Material: LaCo4Si
Method: DFT, GGA-PBE
State: optimized geometry

a b c (Å): 4.976 4.976 4.976
angles (deg): 60.00 60.00 60.00
Fractional positions:
La1 0.000 0.000 0.000
Co1 0.377 0.377 0.377
Co2 0.377 0.377 0.869
Co3 0.377 0.869 0.377
Co4 0.869 0.377 0.377
Si1 0.750 0.750 0.750

Values from the calculation:
Fermi-level density of states: 10.8 states/eV per cell
E: -6.40 eV per atom
spin magnetization: 4.8 μB per formula unit
mass density: 7.674 g/cm3
E_form (uncorrected): 0.059 eV/atom